Record 1
Computed, not measured: a relaxed structure of SrPmGe4 at the PBE level of DFT.

* final energy: -27.76 eV/f.u.
* energy of formation: -0.476 eV/atom
* density: 5.7 g/cm3
* energy above the most stable polymorph in this dataset: 0 meV/atom

Cell and atoms, written as CIF:
```
data_SrPmGe4
_space_group_name_H-M_alt 'P b a m'
_space_group_IT_number 55
_space_group_name_Hall '-P 2 2ab'
_cell_length_a 7.8122
_cell_length_b 17.8632
_cell_length_c 4.4043
_cell_angle_alpha 90.00
_cell_angle_beta 90.00
_cell_angle_gamma 90.00
loop_
_atom_site_label
_atom_site_fract_x
_atom_site_fract_y
_atom_site_fract_z
Sr1 0.1271 0.1655 0.0000
Pm1 0.1286 0.4117 0.0000
Ge1 0.0390 0.6859 0.5000
Ge2 0.0997 0.9399 0.5000
Ge3 0.1464 0.5374 0.5000
Ge4 0.2136 0.8049 0.5000
```

***

Record 2
Computed, not measured: a relaxed structure of SrPm2Zn2Ge2 at the PBE level of DFT.

* final energy: -25.90 eV/f.u.
* energy of formation: -0.419 eV/atom
* density: 5.9 g/cm3

Cell and atoms, written as CIF:
```
data_SrPm2Zn2Ge2
_space_group_name_H-M_alt 'R -3 m'
_space_group_IT_number 166
_space_group_name_Hall '-R 3 2"'
_cell_length_a 4.2503
_cell_length_b 4.2503
_cell_length_c 35.4023
_cell_angle_alpha 90.00
_cell_angle_beta 90.00
_cell_angle_gamma 120.00
loop_
_atom_site_label
_atom_site_fract_x
_atom_site_fract_y
_atom_site_fract_z
Sr1 0.0000 0.0000 0.0000
Pm1 0.0000 0.0000 0.1238
Zn1 0.0000 0.0000 0.4036
Ge1 0.0000 0.0000 0.2682
```

***

Record 3
Computed, not measured: a relaxed structure of SrPmZnGe at the PBE level of DFT.

* final energy: -13.88 eV/f.u.
* energy of formation: -0.390 eV/atom
* density: 5.9 g/cm3

Cell and atoms, written as CIF:
```
data_SrPmZnGe
_space_group_name_H-M_alt 'F -4 3 m'
_space_group_IT_number 216
_space_group_name_Hall 'F -4 2 3'
_cell_length_a 7.4898
_cell_length_b 7.4898
_cell_length_c 7.4898
_cell_angle_alpha 90.00
_cell_angle_beta 90.00
_cell_angle_gamma 90.00
loop_
_atom_site_label
_atom_site_fract_x
_atom_site_fract_y
_atom_site_fract_z
Sr1 0.0000 0.0000 0.0000
Pm1 0.0000 0.0000 0.5000
Zn1 0.2500 0.2500 0.2500
Ge1 0.2500 0.2500 0.7500
```